{
  "formula": "CsK2InAg",
  "functional": "PBE-GGA",
  "state": "optimized geometry",
  "lattice_angstrom": [[6.915, 0.000, 0.000], [0.000, 6.915, 0.000], [0.000, 0.000, 5.432]],
  "species": ["Cs", "K", "K", "In", "Ag"],
  "frac_coords": [[0.000, 0.000, 0.000], [0.000, 0.500, 0.500], [0.500, 0.000, 0.500], [0.500, 0.500, 0.500], [0.500, 0.500, 0.000]],
  "delta_e_f_mev_per_atom": 87,
  "polymorph_energy_mev_per_atom": 56,
  "energy_ev_per_fu": -8.20,
  "n_ef_per_ev_cell": 2.7
}